No. 1
10
Lattice="-14.408 -2.603 1.311 -13.763 1.923 4.792 13.565 2.109 -5.255" Properties=species:S:1:pos:R:3 comment="Dy4YSe5, optimized geometry, DFT GGA-PBE" final_energy_ev_per_atom=-5.980 crystal_system=tetragonal total_magnetization_mub_per_cell=0.0 pbc="T T T"
Se -2.852 -0.069 0.618
Se -14.085 -0.340 3.052
Dy -22.458 -0.542 4.866
Y 0.000 0.000 0.000
Se -8.505 -0.205 1.843
Se -19.665 -0.475 4.261
Dy -5.712 -0.138 1.238
Dy -11.316 -0.273 2.452
Dy -16.854 -0.407 3.652
Se -25.318 -0.611 5.485


No. 2
29
Lattice="-4.369 4.369 4.369 4.369 -4.369 4.369 4.369 4.369 -4.369" Properties=species:S:1:pos:R:3 comment="Ni24W5, optimized geometry, DFT GGA-PBE" delta_e_f_ev_per_atom=-0.006 final_energy_ev_per_atom=-6.848 crystal_system=cubic total_magnetization_mub_per_cell=3.6 pbc="T T T"
Ni -1.188 4.758 1.188
W 1.605 1.605 1.605
Ni 1.188 1.188 3.979
Ni -0.389 3.181 3.181
Ni -0.817 0.817 2.474
Ni 0.817 2.474 -0.817
Ni 0.817 -0.817 2.474
Ni 0.817 6.263 0.817
Ni 0.817 0.817 6.263
Ni 1.188 -1.188 4.758
Ni -1.188 1.188 4.758
Ni -0.817 2.474 0.817
Ni 6.263 0.817 0.817
W 2.763 -2.763 2.763
Ni 3.181 -0.389 3.181
Ni 3.551 1.895 3.551
Ni 2.474 0.817 -0.817
W 2.763 2.763 -2.763
Ni 4.758 1.188 -1.188
W -2.763 2.763 2.763
Ni 1.188 4.758 -1.188
W 0.000 0.000 0.000
Ni 1.895 3.551 3.551
Ni 1.188 3.979 1.188
Ni 3.181 3.181 -0.389
Ni 3.551 3.551 1.895
Ni 4.758 -1.188 1.188
Ni 2.474 -0.817 0.817
Ni 3.979 1.188 1.188


No. 3
8
Lattice="3.346 0.000 0.000 -1.673 2.898 0.000 0.000 0.000 12.511" Properties=species:S:1:pos:R:3 comment="TeIr4C2Se, optimized geometry, DFT GGA-PBE" final_energy_ev_per_atom=-6.780 crystal_system=hexagonal total_magnetization_mub_per_cell=0.0 pbc="T T T"
Ir 0.000 1.932 1.896
Ir 0.000 1.932 10.615
Ir 0.000 0.000 8.659
Ir 0.000 0.000 3.852
C 1.673 0.966 3.043
Se 0.000 0.000 0.000
C 1.673 0.966 9.469
Te 0.000 1.932 6.256


No. 4
8
Lattice="-2.970 -1.806 -1.972 -2.103 -2.077 5.070 -2.978 4.315 0.533" Properties=species:S:1:pos:R:3 comment="ZrBeAsO, optimized geometry, DFT GGA-PBE" final_energy_ev_per_atom=-6.917 crystal_system=orthorhombic total_magnetization_mub_per_cell=0.1 pbc="T T T"
Be -3.367 1.375 -0.238
As -1.719 1.214 1.478
As -4.263 2.329 4.287
Be -3.613 -2.495 3.678
O -4.402 2.609 0.191
O -4.429 -1.046 3.580
Zr -3.306 3.273 1.982
Zr -2.675 0.269 3.782


No. 5
3
Lattice="0.000 3.597 3.597 3.597 0.000 3.597 3.597 3.597 0.000" Properties=species:S:1:pos:R:3 comment="KNiBi, optimized geometry, DFT GGA-PBE" final_energy_ev_per_atom=-2.466 crystal_system=cubic total_magnetization_mub_per_cell=0.3 pbc="T T T"
K 0.000 0.000 0.000
Bi 1.798 1.798 1.798
Ni 5.395 5.395 5.395


No. 6
3
Lattice="-0.881 -1.162 4.189 -2.875 2.375 2.403 -3.960 -1.705 1.043" Properties=species:S:1:pos:R:3 comment="ReBr2, optimized geometry, DFT GGA-PBE" final_energy_ev_per_atom=-4.315 crystal_system=cubic total_magnetization_mub_per_cell=0.0 pbc="T T T"
Br -1.929 -0.123 1.909
Re 0.000 0.000 0.000
Br -5.787 -0.369 5.726


No. 7
4
Lattice="-2.686 -2.454 -2.087 -4.133 0.548 0.460 -2.269 1.581 -3.153" Properties=species:S:1:pos:R:3 comment="ScZnCuB, optimized geometry, DFT GGA-PBE" final_energy_ev_per_atom=-4.430 crystal_system=cubic total_magnetization_mub_per_cell=0.0 pbc="T T T"
Sc -2.272 -0.081 -1.195
B 0.000 0.000 0.000
Zn -6.816 -0.244 -3.586
Cu -4.544 -0.162 -2.390


No. 8
20
Lattice="6.091 0.000 0.000 0.000 6.223 0.000 0.000 0.000 8.943" Properties=species:S:1:pos:R:3 comment="AcTmO3, optimized geometry, DFT GGA-PBE" final_energy_ev_per_atom=-7.979 crystal_system=orthorhombic total_magnetization_mub_per_cell=0.0 pbc="T T T"
Tm 2.945 3.207 2.236
Tm 3.146 3.016 6.707
O 5.157 5.256 0.745
O 0.934 0.966 8.198
Ac 0.000 3.111 4.471
O 2.112 4.078 5.216
Tm 0.101 0.095 2.236
Tm 5.990 6.127 6.707
O 0.934 0.966 5.216
Ac 0.000 3.111 0.000
O 2.112 4.078 8.198
O 1.993 5.292 2.236
Ac 3.046 0.000 0.000
O 5.157 5.256 3.726
O 3.979 2.145 3.726
O 1.052 2.181 2.236
Ac 3.046 0.000 4.471
O 4.098 0.931 6.707
O 5.039 4.042 6.707
O 3.979 2.145 0.745


> Which formula does entry 4 have?

ZrBeAsO


> What is the formula in the fifth record?

KNiBi


> Which formula does entry 1 have?

Dy4YSe5